1.
Compound: Si2TcMo
Source: the Alexandria database
Functional: PBE
Structure: relaxed

As for the density: 7.30 g cm⁻³. The value obtained for the uncorrected formation energy is -121 meV/atom. The density of states at the Fermi level is 13.925 states/eV/cell. For the total energy, the calculation gives -8.132 eV/atom.

The structure belongs to space group R-3m (No. 166, hexagonal axes); the cell edges are 2.8862, 2.8862 and 23.6619 Å and the angles 90.00°, 90.00° and 120.00°. Symmetry generates all atoms from Si at (0.0000, 0.0000, 0.2475), Tc at (0.0000, 0.0000, 0.5000) and Mo at (0.0000, 0.0000, 0.0000).



2.
Compound: VReMo
Source: the Alexandria database
Functional: PBE
Structure: relaxed

The formation energy is 2.135 eV/f.u. As for the density: 10.98 g cm⁻³. The density of states at the Fermi level is 6.823 states/eV/cell. For the total energy, the calculation gives -10.088 eV/atom.

The structure belongs to space group Cm (No. 8); the cell edges are 6.5958, 4.1287 and 4.3026 Å and the angles 90.00°, 120.66° and 90.00°. Symmetry generates all atoms from V at (0.0000, 0.0000, 0.0000), Re at (0.2480, 0.5000, 0.2754) and Mo at (0.2521, 0.0000, 0.7113).



3.
Compound: RbNiHg2Pt
Source: the Alexandria database
Functional: PBE
Structure: relaxed

The formation energy is 3.440 eV/f.u. As for the density: 8.88 g cm⁻³. The density of states at the Fermi level is 5.624 states/eV/cell. For the total energy, the calculation gives -1.991 eV/atom.

The structure belongs to space group P4/mmm (No. 123); the cell edges are 4.9860, 4.9860 and 5.5705 Å and the angles 90.00°, 90.00° and 90.00°. Symmetry generates all atoms from Rb at (0.0000, 0.0000, 0.0000), Ni at (0.0000, 0.0000, 0.5000), Hg at (0.0000, 0.5000, 0.5000) and Pt at (0.5000, 0.5000, 0.0000).



4.
Compound: Sm2SnHg3
Source: the Alexandria database
Functional: PBE
Structure: relaxed

The formation energy is -2.788 eV/f.u. As for the density: 10.94 g cm⁻³. The density of states at the Fermi level is 34.549 states/eV/cell. For the total energy, the calculation gives -2.856 eV/atom.

The structure belongs to space group Fmmm (No. 69); the cell edges are 7.2755, 9.9233 and 17.1685 Å and the angles 90.00°, 90.00° and 90.00°. Symmetry generates all atoms from Sm at (0.2443, 0.0000, 0.0000), Sm at (0.2500, 0.2500, 0.2500), Sn at (0.0000, 0.0000, 0.3345), Hg at (0.0000, 0.0000, 0.1660) and Hg at (0.0000, 0.2496, 0.0827).



5.
Compound: Pm4Er5Tm2
Source: the Alexandria database
Functional: PBE
Structure: relaxed

The formation energy is 1.199 eV/f.u. As for the density: 8.29 g cm⁻³. The density of states at the Fermi level is 32.725 states/eV/cell. For the total energy, the calculation gives -4.506 eV/atom.

The structure belongs to space group C2/m (No. 12); the cell edges are 19.0271, 5.6105 and 6.5822 Å and the angles 90.00°, 90.90° and 90.00°. Symmetry generates all atoms from Pm at (0.0205, 0.0000, 0.2878), Pm at (0.1940, 0.5000, 0.0716), Er at (0.0000, 0.5000, 0.0000), Er at (0.1300, 0.0000, 0.8893), Er at (0.2085, 0.0000, 0.4023) and Tm at (0.0983, 0.5000, 0.5547).



6.
Compound: LaY2Sn
Source: the Alexandria database
Functional: PBE
Structure: relaxed

The formation energy is -0.305 eV/f.u. As for the density: 5.39 g cm⁻³. The density of states at the Fermi level is 28.208 states/eV/cell. For the total energy, the calculation gives -5.541 eV/atom.

The structure belongs to space group I-42d (No. 122); the cell edges are 8.9617, 8.9617 and 6.6794 Å and the angles 90.00°, 90.00° and 90.00°. Symmetry generates all atoms from La at (0.0000, 0.0000, 0.0000), Y at (0.2096, 0.7500, 0.6250) and Sn at (0.0000, 0.0000, 0.5000).



7.
Compound: Te3Mo
Source: the Alexandria database
Functional: PBE
Structure: relaxed

As for the density: 7.05 g cm⁻³. The value obtained for the uncorrected formation energy is 16 meV/atom. The density of states at the Fermi level is 2.997 states/eV/cell. For the total energy, the calculation gives -5.048 eV/atom.

The structure belongs to space group P4/mmm (No. 123); the cell edges are 3.2344, 3.2344 and 10.7747 Å and the angles 90.00°, 90.00° and 90.00°. Symmetry generates all atoms from Te at (0.0000, 0.0000, 0.0000), Te at (0.5000, 0.5000, 0.3423) and Mo at (0.0000, 0.0000, 0.5000).